## a
Here is crystalline YAlCoOs at its relaxed geometry from OQMD via LeMat-Bulk. Energies are from GGA-PBE.

a = 4.580 Å, b = 4.580 Å, c = 4.580 Å
α = 60.00°, β = 60.00°, γ = 60.00°
Fractional positions:
Al1 0.000 0.000 0.000
Co1 0.750 0.750 0.750
Os1 0.500 0.500 0.500
Y1 0.250 0.250 0.250

Values from the calculation:
Crystal system ... cubic
Magnetic moment ... 2.81 μB per formula unit

***

## b
Here is crystalline YAlCoOs at its relaxed geometry from OQMD via LeMat-Bulk. Energies are from GGA-PBE.

a = 4.499 Å, b = 4.499 Å, c = 4.499 Å
α = 60.00°, β = 60.00°, γ = 60.00°
Fractional positions:
Al1 0.000 0.000 0.000
Co1 0.750 0.750 0.750
Os1 0.250 0.250 0.250
Y1 0.500 0.500 0.500

Values from the calculation:
Crystal system ... cubic
Magnetic moment ... 0.03 μB per formula unit

***

It turns out b is the most stable, with the second structure 372 meV/atom higher.

***

## a
Here is crystalline AlZnCoOs at its relaxed geometry from OQMD via LeMat-Bulk. Energies are from GGA-PBE.

a = 4.211 Å, b = 4.211 Å, c = 4.211 Å
α = 60.00°, β = 60.00°, γ = 60.00°
Fractional positions:
Al1 0.000 0.000 0.000
Co1 0.750 0.750 0.750
Os1 0.500 0.500 0.500
Zn1 0.250 0.250 0.250

Values from the calculation:
Crystal system ... cubic
Magnetic moment ... 1.74 μB per formula unit

***

## b
Here is crystalline AlZnCoOs at its relaxed geometry from OQMD via LeMat-Bulk. Energies are from GGA-PBE.

a = 4.183 Å, b = 4.183 Å, c = 4.183 Å
α = 60.00°, β = 60.00°, γ = 60.00°
Fractional positions:
Al1 0.000 0.000 0.000
Co1 0.750 0.750 0.750
Os1 0.250 0.250 0.250
Zn1 0.500 0.500 0.500

Values from the calculation:
Crystal system ... cubic
Magnetic moment ... 0.72 μB per formula unit

***

It turns out b is the most stable, with the second structure 157 meV/atom higher.

***

## a
Here is crystalline ZrAlCoOs at its relaxed geometry from OQMD via LeMat-Bulk. Energies are from GGA-PBE.

a = 4.451 Å, b = 4.451 Å, c = 4.451 Å
α = 60.00°, β = 60.00°, γ = 60.00°
Fractional positions:
Al1 0.000 0.000 0.000
Co1 0.750 0.750 0.750
Os1 0.500 0.500 0.500
Zr1 0.250 0.250 0.250

Values from the calculation:
Crystal system ... cubic
Magnetic moment ... 2.57 μB per formula unit

***

## b
Here is crystalline ZrAlCoOs at its relaxed geometry from OQMD via LeMat-Bulk. Energies are from GGA-PBE.

a = 4.394 Å, b = 4.394 Å, c = 4.394 Å
α = 60.00°, β = 60.00°, γ = 60.00°
Fractional positions:
Al1 0.000 0.000 0.000
Co1 0.750 0.750 0.750
Os1 0.250 0.250 0.250
Zr1 0.500 0.500 0.500

Values from the calculation:
Crystal system ... cubic
Magnetic moment ... 0.00 μB per formula unit

***

It turns out b is the most stable, with the second structure 504 meV/atom higher.

***

## a
Here is crystalline YAlCoPd at its relaxed geometry from OQMD via LeMat-Bulk. Energies are from GGA-PBE.

a = 4.574 Å, b = 4.574 Å, c = 4.574 Å
α = 60.00°, β = 60.00°, γ = 60.00°
Fractional positions:
Al1 0.000 0.000 0.000
Co1 0.750 0.750 0.750
Pd1 0.250 0.250 0.250
Y1 0.500 0.500 0.500

Values from the calculation:
Crystal system ... cubic
Magnetic moment ... 0.80 μB per formula unit

***

## b
Here is crystalline YAlCoPd at its relaxed geometry from OQMD via LeMat-Bulk. Energies are from GGA-PBE.

a = 4.632 Å, b = 4.632 Å, c = 4.632 Å
α = 60.00°, β = 60.00°, γ = 60.00°
Fractional positions:
Al1 0.000 0.000 0.000
Co1 0.750 0.750 0.750
Pd1 0.500 0.500 0.500
Y1 0.250 0.250 0.250

Values from the calculation:
Crystal system ... cubic
Magnetic moment ... 0.00 μB per formula unit

***

It turns out a is the most stable, with the second structure 362 meV/atom higher.

***

## a
Here is crystalline ZrAlCoPt at its relaxed geometry from OQMD via LeMat-Bulk. Energies are from GGA-PBE.

a = 4.462 Å, b = 4.462 Å, c = 4.462 Å
α = 60.00°, β = 60.00°, γ = 60.00°
Fractional positions:
Al1 0.000 0.000 0.000
Co1 0.750 0.750 0.750
Pt1 0.250 0.250 0.250
Zr1 0.500 0.500 0.500

Values from the calculation:
Crystal system ... cubic
Magnetic moment ... 1.60 μB per formula unit

***

## b
Here is crystalline ZrAlCoPt at its relaxed geometry from OQMD via LeMat-Bulk. Energies are from GGA-PBE.

a = 4.494 Å, b = 4.494 Å, c = 4.494 Å
α = 60.00°, β = 60.00°, γ = 60.00°
Fractional positions:
Al1 0.000 0.000 0.000
Co1 0.750 0.750 0.750
Pt1 0.500 0.500 0.500
Zr1 0.250 0.250 0.250

Values from the calculation:
Crystal system ... cubic
Magnetic moment ... 1.88 μB per formula unit

***

It turns out a is the most stable, with the second structure 356 meV/atom higher.

***

## a
Here is crystalline RbAlCoS3 at its relaxed geometry from OQMD via LeMat-Bulk. Energies are from GGA-PBE.

a = 8.672 Å, b = 3.564 Å, c = 9.439 Å
α = 90.00°, β = 111.87°, γ = 90.00°
Fractional positions:
Al1 0.657 0.250 0.116
Al2 0.343 0.750 0.884
Co1 0.925 0.750 0.406
Co2 0.075 0.250 0.594
Rb1 0.211 0.250 0.241
Rb2 0.789 0.750 0.759
S1 0.854 0.750 0.144
S2 0.482 0.750 0.151
S3 0.808 0.250 0.456
S4 0.192 0.750 0.544
S5 0.518 0.250 0.849
S6 0.146 0.250 0.856

Values from the calculation:
Crystal system ... monoclinic
Magnetic moment ... 1.79 μB per formula unit

***

## b
Here is crystalline RbAlCoS3 at its relaxed geometry from OQMD via LeMat-Bulk. Energies are from GGA-PBE.

a = 7.751 Å, b = 7.751 Å, c = 9.490 Å
α = 90.00°, β = 90.00°, γ = 152.93°
Fractional positions:
Al1 0.972 0.028 0.250
Al2 0.028 0.972 0.750
Co1 0.500 0.500 0.000
Co2 0.500 0.500 0.500
Rb1 0.248 0.752 0.250
Rb2 0.752 0.248 0.750
S1 0.898 0.102 0.048
S2 0.562 0.438 0.250
S3 0.898 0.102 0.452
S4 0.102 0.898 0.548
S5 0.438 0.562 0.750
S6 0.102 0.898 0.952

Values from the calculation:
Crystal system ... orthorhombic
Magnetic moment ... 1.00 μB per formula unit

***

It turns out a is the most stable, with the second structure 64 meV/atom higher.

***

## a
Here is crystalline AlZnCoRe at its relaxed geometry from OQMD via LeMat-Bulk. Energies are from GGA-PBE.

a = 4.228 Å, b = 4.228 Å, c = 4.228 Å
α = 60.00°, β = 60.00°, γ = 60.00°
Fractional positions:
Al1 0.000 0.000 0.000
Co1 0.750 0.750 0.750
Re1 0.500 0.500 0.500
Zn1 0.250 0.250 0.250

Values from the calculation:
Crystal system ... cubic
Magnetic moment ... 2.42 μB per formula unit

***

## b
Here is crystalline AlZnCoRe at its relaxed geometry from OQMD via LeMat-Bulk. Energies are from GGA-PBE.

a = 4.208 Å, b = 4.208 Å, c = 4.208 Å
α = 60.00°, β = 60.00°, γ = 60.00°
Fractional positions:
Al1 0.000 0.000 0.000
Co1 0.750 0.750 0.750
Re1 0.250 0.250 0.250
Zn1 0.500 0.500 0.500

Values from the calculation:
Crystal system ... cubic
Magnetic moment ... 1.27 μB per formula unit

***

It turns out a is the most stable, with the second structure 7 meV/atom higher.

***

## a
Here is crystalline ZrAlCoTc at its relaxed geometry from OQMD via LeMat-Bulk. Energies are from GGA-PBE.

a = 4.395 Å, b = 4.395 Å, c = 4.395 Å
α = 60.00°, β = 60.00°, γ = 60.00°
Fractional positions:
Al1 0.000 0.000 0.000
Co1 0.750 0.750 0.750
Tc1 0.250 0.250 0.250
Zr1 0.500 0.500 0.500

Values from the calculation:
Crystal system ... cubic
Magnetic moment ... 0.01 μB per formula unit

***

## b
Here is crystalline ZrAlCoTc at its relaxed geometry from OQMD via LeMat-Bulk. Energies are from GGA-PBE.

a = 4.469 Å, b = 4.469 Å, c = 4.469 Å
α = 60.00°, β = 60.00°, γ = 60.00°
Fractional positions:
Al1 0.000 0.000 0.000
Co1 0.750 0.750 0.750
Tc1 0.500 0.500 0.500
Zr1 0.250 0.250 0.250

Values from the calculation:
Crystal system ... cubic
Magnetic moment ... 2.64 μB per formula unit

***

It turns out a is the most stable, with the second structure 410 meV/atom higher.

***

## a
Here is crystalline YAlCoW at its relaxed geometry from OQMD via LeMat-Bulk. Energies are from GGA-PBE.

a = 4.573 Å, b = 4.573 Å, c = 4.573 Å
α = 60.00°, β = 60.00°, γ = 60.00°
Fractional positions:
Al1 0.000 0.000 0.000
Co1 0.750 0.750 0.750
W1 0.250 0.250 0.250
Y1 0.500 0.500 0.500

Values from the calculation:
Crystal system ... cubic
Magnetic moment ... 2.67 μB per formula unit

***

## b
Here is crystalline YAlCoW at its relaxed geometry from OQMD via LeMat-Bulk. Energies are from GGA-PBE.

a = 4.615 Å, b = 4.615 Å, c = 4.615 Å
α = 60.00°, β = 60.00°, γ = 60.00°
Fractional positions:
Al1 0.000 0.000 0.000
Co1 0.750 0.750 0.750
W1 0.500 0.500 0.500
Y1 0.250 0.250 0.250

Values from the calculation:
Crystal system ... cubic
Magnetic moment ... 3.00 μB per formula unit

***

It turns out a is the most stable, with the second structure 111 meV/atom higher.

***

## a
Here is crystalline YAlZnCo at its relaxed geometry from OQMD via LeMat-Bulk. Energies are from GGA-PBE.

a = 4.563 Å, b = 4.563 Å, c = 4.563 Å
α = 60.00°, β = 60.00°, γ = 60.00°
Fractional positions:
Al1 0.000 0.000 0.000
Co1 0.750 0.750 0.750
Y1 0.500 0.500 0.500
Zn1 0.250 0.250 0.250

Values from the calculation:
Crystal system ... cubic
Magnetic moment ... 0.93 μB per formula unit

***

## b
Here is crystalline YAlZnCo at its relaxed geometry from OQMD via LeMat-Bulk. Energies are from GGA-PBE.

a = 4.559 Å, b = 4.559 Å, c = 4.559 Å
α = 60.00°, β = 60.00°, γ = 60.00°
Fractional positions:
Al1 0.000 0.000 0.000
Co1 0.750 0.750 0.750
Y1 0.250 0.250 0.250
Zn1 0.500 0.500 0.500

Values from the calculation:
Crystal system ... cubic
Magnetic moment ... 0.07 μB per formula unit

***

It turns out a is the most stable, with the second structure 91 meV/atom higher.

***

## a
Here is crystalline AlZnCo at its relaxed geometry from OQMD via LeMat-Bulk. Energies are from GGA-PBE.

a = 3.986 Å, b = 3.986 Å, c = 3.986 Å
α = 60.00°, β = 60.00°, γ = 60.00°
Fractional positions:
Al1 0.250 0.250 0.250
Co1 0.000 0.000 0.000
Zn1 0.750 0.750 0.750

Values from the calculation:
Crystal system ... cubic
Magnetic moment ... 0.01 μB per formula unit

***

## b
Here is crystalline AlZnCo at its relaxed geometry from OQMD via LeMat-Bulk. Energies are from GGA-PBE.

a = 3.996 Å, b = 3.996 Å, c = 3.996 Å
α = 60.00°, β = 60.00°, γ = 60.00°
Fractional positions:
Al1 0.000 0.000 0.000
Co1 0.250 0.250 0.250
Zn1 0.750 0.750 0.750

Values from the calculation:
Crystal system ... cubic
Magnetic moment ... 0.01 μB per formula unit

***

It turns out a is the most stable, with the second structure 238 meV/atom higher.

***

## a
Here is crystalline CsDyAlTe3 at its relaxed geometry from OQMD via LeMat-Bulk. Energies are from GGA-PBE.

a = 12.049 Å, b = 5.130 Å, c = 13.685 Å
α = 90.00°, β = 90.00°, γ = 90.00°
Fractional positions:
Al1 0.225 0.250 0.224
Al2 0.725 0.250 0.276
Al3 0.275 0.750 0.724
Al4 0.775 0.750 0.776
Cs1 0.322 0.750 0.008
Cs2 0.822 0.750 0.492
Cs3 0.178 0.250 0.508
Cs4 0.678 0.250 0.992
Dy1 0.972 0.750 0.173
Dy2 0.472 0.750 0.327
Dy3 0.528 0.250 0.673
Dy4 0.028 0.250 0.827
Te1 0.087 0.250 0.063
Te2 0.446 0.250 0.186
Te3 0.705 0.750 0.204
Te4 0.205 0.750 0.296
Te5 0.946 0.250 0.314
Te6 0.587 0.250 0.437
Te7 0.413 0.750 0.563
Te8 0.054 0.750 0.686
Te9 0.795 0.250 0.704
Te10 0.295 0.250 0.796
Te11 0.554 0.750 0.814
Te12 0.913 0.750 0.937

Values from the calculation:
Crystal system ... orthorhombic
Magnetic moment ... 0.01 μB per formula unit

***

## b
Here is crystalline CsDyAlTe3 at its relaxed geometry from OQMD via LeMat-Bulk. Energies are from GGA-PBE.

a = 8.630 Å, b = 8.630 Å, c = 11.686 Å
α = 90.00°, β = 90.00°, γ = 147.37°
Fractional positions:
Al1 0.519 0.481 0.250
Al2 0.481 0.519 0.750
Cs1 0.254 0.746 0.250
Cs2 0.746 0.254 0.750
Dy1 0.000 0.000 0.000
Dy2 0.000 0.000 0.500
Te1 0.616 0.384 0.062
Te2 0.942 0.058 0.250
Te3 0.616 0.384 0.438
Te4 0.384 0.616 0.562
Te5 0.058 0.942 0.750
Te6 0.384 0.616 0.938

Values from the calculation:
Crystal system ... orthorhombic
Magnetic moment ... 0.01 μB per formula unit

***

It turns out b is the most stable, with the second structure 49 meV/atom higher.

***

## a
Here is crystalline CsAlHg at its relaxed geometry from OQMD via LeMat-Bulk. Energies are from GGA-PBE.

a = 5.972 Å, b = 5.972 Å, c = 5.972 Å
α = 60.00°, β = 60.00°, γ = 60.00°
Fractional positions:
Al1 0.250 0.250 0.250
Cs1 0.000 0.000 0.000
Hg1 0.750 0.750 0.750

Values from the calculation:
Crystal system ... cubic

***

## b
Here is crystalline CsAlHg at its relaxed geometry from OQMD via LeMat-Bulk. Energies are from GGA-PBE.

a = 5.690 Å, b = 5.690 Å, c = 5.690 Å
α = 60.00°, β = 60.00°, γ = 60.00°
Fractional positions:
Al1 0.250 0.250 0.250
Cs1 0.750 0.750 0.750
Hg1 0.000 0.000 0.000

Values from the calculation:
Crystal system ... cubic

***

It turns out b is the most stable, with the second structure 240 meV/atom higher.

***

## a
Here is crystalline CsAlIr at its relaxed geometry from OQMD via LeMat-Bulk. Energies are from GGA-PBE.

a = 4.874 Å, b = 4.874 Å, c = 4.874 Å
α = 60.00°, β = 60.00°, γ = 60.00°
Fractional positions:
Al1 0.250 0.250 0.250
Cs1 0.750 0.750 0.750
Ir1 0.000 0.000 0.000

Values from the calculation:
Crystal system ... cubic
Magnetic moment ... 0.12 μB per formula unit

***

## b
Here is crystalline CsAlIr at its relaxed geometry from OQMD via LeMat-Bulk. Energies are from GGA-PBE.

a = 5.110 Å, b = 5.110 Å, c = 5.110 Å
α = 60.00°, β = 60.00°, γ = 60.00°
Fractional positions:
Al1 0.250 0.250 0.250
Cs1 0.000 0.000 0.000
Ir1 0.750 0.750 0.750

Values from the calculation:
Crystal system ... cubic
Magnetic moment ... 0.98 μB per formula unit

***

It turns out a is the most stable, with the second structure 1025 meV/atom higher.